PBE-GGA TbSbOs, relaxed; crystal system = cubic; total DFT energy (no corrections) = -6.879 eV/atom
1.0
0.000 3.284 3.284
3.284 0.000 3.284
3.284 3.284 0.000
Tb Sb Os
1 1 1
direct
0.000 0.000 0.000 Tb
0.500 0.500 0.500 Sb
0.750 0.750 0.750 Os

---

PBE-GGA TcSb2Os, relaxed; crystal system = cubic; total DFT energy (no corrections) = -6.540 eV/atom
1.0
0.000 3.339 3.339
3.339 0.000 3.339
3.339 3.339 0.000
Tc Sb Os
1 2 1
direct
0.000 0.000 0.000 Tc
0.250 0.250 0.250 Sb
0.500 0.500 0.500 Sb
0.750 0.750 0.750 Os